VASP calculation (PBE) on a geometry-optimized LiTbBi2 structure.

As for the excess energy over the best structure of this formula in the dataset: 83.3 meV per atom. The total DFT energy (no corrections) is -4.111 eV per atom. The value obtained for the formation energy is -0.534 eV/atom. The value obtained for the density is 8.95 g/cm3. The total magnetization comes out at 0.0 μB per formula unit.

The structure belongs to space group P4/mmm (No. 123); the cell edges are 5.0508, 5.0508 and 4.2478 Å and the angles 90.00°, 90.00° and 90.00°. The inequivalent atoms are Li at (0.0000, 0.0000, 0.0000), Tb at (0.5000, 0.5000, 0.0000) and Bi at (0.0000, 0.5000, 0.5000).